Record 1
Na3Np2NiS6: relaxed, GGA-PBE.

Calculated values
total magnetization = 0.643 μB per atom
crystal system = monoclinic
E_form (uncorrected) = -1.09 eV per atom

abc: 6.6305 11.5823 7.0289
angles: 90.00 108.15 90.00
Space group C2/m (No. 12)
Unique sites:
Na1 0.0000 0.0000 0.0000
Na2 0.0000 0.3346 0.0000
Np1 0.0000 0.1672 0.5000
Ni1 0.0000 0.5000 0.5000
S1 0.2366 0.3378 0.7227
S2 0.2416 0.5000 0.2874



Record 2
Li3Ca2RhO6: relaxed, GGA-PBE.

Calculated values
total magnetization = 0.168 μB per atom
crystal system = monoclinic
E_form (uncorrected) = -1.90 eV per atom

abc: 5.5196 10.0155 5.2423
angles: 90.00 107.82 90.00
Space group C2/m (No. 12)
Unique sites:
Li1 0.0000 0.0000 0.0000
Li2 0.0000 0.3760 0.0000
Ca1 0.0000 0.1689 0.5000
Rh1 0.0000 0.5000 0.5000
O1 0.2118 0.3580 0.7392
O2 0.2344 0.5000 0.2645



Record 3
LaPmTh2Bi4: relaxed, GGA-PBE.

Calculated values
total magnetization = 0.000 μB per atom
crystal system = tetragonal
E_form = -0.79 eV/atom

abc: 6.5302 6.5302 13.0519
angles: 90.00 90.00 90.00
Space group I-4m2 (No. 119)
Unique sites:
La1 0.0000 0.0000 0.0000
Pm1 0.0000 0.5000 0.7500
Th1 0.0000 0.0000 0.5000
Th2 0.0000 0.5000 0.2500
Bi1 0.0000 0.0000 0.2518
Bi2 0.0000 0.5000 0.0001



Record 4
KTlClF: relaxed, GGA-PBE.

Calculated values
total magnetization = 0.000 μB per atom
polymorph energy (0 for the lowest one) = 121 meV/atom
crystal system = cubic
E_form (uncorrected) = -1.70 eV per atom

abc: 7.3376 7.3376 7.3376
angles: 90.00 90.00 90.00
Space group F-43m (No. 216)
Unique sites:
K1 0.0000 0.0000 0.0000
Tl1 0.0000 0.0000 0.5000
Cl1 0.2500 0.2500 0.7500
F1 0.2500 0.2500 0.2500



Record 5
Ta2PdC2: relaxed, GGA-PBE.

Calculated values
total magnetization = 0.000 μB per atom
polymorph energy (0 for the lowest one) = 0 meV/atom
crystal system = tetragonal
E_form = 0.13 eV/atom

abc: 3.9941 3.9941 8.8408
angles: 90.00 90.00 90.00
Space group I4/mmm (No. 139)
Unique sites:
Ta1 0.0000 0.0000 0.1744
Pd1 0.0000 0.0000 0.5000
C1 0.0000 0.5000 0.2500



Record 6
GdVOs2: relaxed, GGA-PBE.

Calculated values
total magnetization = 1.727 μB per atom
crystal system = tetragonal
E_form = -0.09 eV/atom

abc: 3.0827 3.0827 7.1037
angles: 90.00 90.00 90.00
Space group P4/mmm (No. 123)
Unique sites:
Gd1 0.0000 0.0000 0.0000
V1 0.0000 0.0000 0.5000
Os1 0.5000 0.5000 0.2977